A relaxed CaMg2TcOs crystal, computed with GGA-PBE.

Geometry as POSCAR:
```
CaMg2TcOs
1.0
4.937 0.000 0.000
0.000 4.932 0.000
0.000 0.000 4.937
Mg Os Tc Ca
2 1 1 1
direct
0.500 0.000 0.000
0.000 0.000 0.500
0.500 0.500 0.500
0.000 0.000 0.000
0.000 0.500 0.000
```

* ΔH_f (0 K): 1569 meV per atom
* SG: P4/mmm, No. 123